Computed, not measured: an optimized crystal structure of Ni2AsPt at the GGA-PBE level of DFT.

Cell and atoms, written as POSCAR:
```
Ni2AsPt
1.0
-1.7885 2.0304 1.1236
0.0452 -1.3910 2.5782
4.8812 3.3475 1.7204
Ni Pt As
2 1 1
direct
0.0000 0.0000 0.5269
0.0000 0.0000 0.9731
0.5000 0.5000 0.2500
0.5000 0.5000 0.7500
```

Values from the calculation:
V, A^3/atom: 13.23
Space group: P4/mmm (123)
Energy, eV/f.u.: -22.6